Density functional theory data (PBE-GGA) for an optimized crystal structure of TbMg4Cd15.

## Properties
energy of formation from the pure elements	-113	meV per atom
M_tot	0.000	μB/cell

Unit cell a=4.586 b=4.586 c=21.347 alpha=90.00 beta=90.00 gamma=90.00
Space group P4/mmm (No. 123)
Asymmetric unit:
Tb 0.000 0.000 0.000 [1 per cell]
Mg 0.000 0.000 0.203 [2 per cell]
Mg 0.000 0.000 0.402 [2 per cell]
Cd 0.000 0.500 0.106 [4 per cell]
Cd 0.000 0.500 0.302 [4 per cell]
Cd 0.000 0.500 0.500 [2 per cell]
Cd 0.500 0.500 0.000 [1 per cell]
Cd 0.500 0.500 0.206 [2 per cell]
Cd 0.500 0.500 0.399 [2 per cell]